Record 1
VASP calculation (PBE) on an optimized crystal structure of CoAg2.

Computed properties:
The symmetry is Cm (8). The calculation puts the total energy at -3.940 eV/atom. The relative energy among the computed polymorphs comes out at 56 meV per atom.

The structure in CIF format:
```
data_CoAg2
_chemical_formula_sum 'Co2 Ag4'
_cell_length_a 5.249
_cell_length_b 5.249
_cell_length_c 6.962
_cell_angle_alpha 108.30
_cell_angle_beta 108.30
_cell_angle_gamma 32.05
_space_group_name_H-M_alt 'P 1'
_space_group_IT_number 1
loop_
_space_group_symop_operation_xyz
'x,y,z'
loop_
_atom_site_label
_atom_site_type_symbol
_atom_site_fract_x
_atom_site_fract_y
_atom_site_fract_z
Co1 Co 0.000 0.000 0.000
Co2 Co 0.634 0.634 0.237
Ag1 Ag 0.287 0.287 0.045
Ag2 Ag 0.287 0.287 0.598
Ag3 Ag 0.588 0.588 0.738
Ag4 Ag 0.953 0.953 0.383
```

---

Record 2
VASP calculation (PBE) on an optimized crystal structure of Co3Ag.

Computed properties:
The symmetry is Pmmn (59). The calculation puts the total energy at -5.717 eV/atom.

The structure in CIF format:
```
data_Co3Ag
_chemical_formula_sum 'Co6 Ag2'
_cell_length_a 4.168
_cell_length_b 5.195
_cell_length_c 4.722
_cell_angle_alpha 90.00
_cell_angle_beta 90.00
_cell_angle_gamma 90.00
_space_group_name_H-M_alt 'P 1'
_space_group_IT_number 1
loop_
_space_group_symop_operation_xyz
'x,y,z'
loop_
_atom_site_label
_atom_site_type_symbol
_atom_site_fract_x
_atom_site_fract_y
_atom_site_fract_z
Co1 Co 0.250 0.003 0.141
Co2 Co 0.250 0.497 0.141
Co3 Co 0.250 0.750 0.713
Co4 Co 0.750 0.250 0.287
Co5 Co 0.750 0.503 0.859
Co6 Co 0.750 0.997 0.859
Ag1 Ag 0.250 0.250 0.637
Ag2 Ag 0.750 0.750 0.363
```

---

Record 3
VASP calculation (PBE) on an optimized crystal structure of Co5Ag.

Computed properties:
The symmetry is Amm2 (38). The calculation puts the total energy at -6.180 eV/atom.

The structure in CIF format:
```
data_Co5Ag
_chemical_formula_sum 'Co5 Ag1'
_cell_length_a 4.119
_cell_length_b 7.014
_cell_length_c 7.014
_cell_angle_alpha 21.06
_cell_angle_beta 90.00
_cell_angle_gamma 90.00
_space_group_name_H-M_alt 'P 1'
_space_group_IT_number 1
loop_
_space_group_symop_operation_xyz
'x,y,z'
loop_
_atom_site_label
_atom_site_type_symbol
_atom_site_fract_x
_atom_site_fract_y
_atom_site_fract_z
Co1 Co 0.000 0.000 0.000
Co2 Co 0.000 0.306 0.306
Co3 Co 0.000 0.654 0.654
Co4 Co 0.500 0.205 0.205
Co5 Co 0.500 0.554 0.554
Ag1 Ag 0.500 0.881 0.881
```

---

Record 4
VASP calculation (PBE) on an optimized crystal structure of CoAg2.

Computed properties:
The symmetry is Pa-3 (205). The calculation puts the total energy at -3.354 eV/atom. The relative energy among the computed polymorphs comes out at 642 meV per atom.

The structure in CIF format:
```
data_CoAg2
_chemical_formula_sum 'Co4 Ag8'
_cell_length_a 6.085
_cell_length_b 6.085
_cell_length_c 6.085
_cell_angle_alpha 90.00
_cell_angle_beta 90.00
_cell_angle_gamma 90.00
_space_group_name_H-M_alt 'P 1'
_space_group_IT_number 1
loop_
_space_group_symop_operation_xyz
'x,y,z'
loop_
_atom_site_label
_atom_site_type_symbol
_atom_site_fract_x
_atom_site_fract_y
_atom_site_fract_z
Co1 Co 0.000 0.000 0.000
Co2 Co 0.000 0.500 0.500
Co3 Co 0.500 0.000 0.500
Co4 Co 0.500 0.500 0.000
Ag1 Ag 0.136 0.636 0.864
Ag2 Ag 0.136 0.864 0.364
Ag3 Ag 0.364 0.136 0.864
Ag4 Ag 0.364 0.364 0.364
Ag5 Ag 0.636 0.636 0.636
Ag6 Ag 0.636 0.864 0.136
Ag7 Ag 0.864 0.136 0.636
Ag8 Ag 0.864 0.364 0.136
```

---

Record 5
VASP calculation (PBE) on an optimized crystal structure of Co3Ag.

Computed properties:
The symmetry is C2/m (12). The calculation puts the total energy at -5.725 eV/atom.

The structure in CIF format:
```
data_Co3Ag
_chemical_formula_sum 'Co3 Ag1'
_cell_length_a 4.510
_cell_length_b 4.510
_cell_length_c 4.585
_cell_angle_alpha 100.80
_cell_angle_beta 100.80
_cell_angle_gamma 33.86
_space_group_name_H-M_alt 'P 1'
_space_group_IT_number 1
loop_
_space_group_symop_operation_xyz
'x,y,z'
loop_
_atom_site_label
_atom_site_type_symbol
_atom_site_fract_x
_atom_site_fract_y
_atom_site_fract_z
Co1 Co 0.000 0.000 0.000
Co2 Co 0.261 0.261 0.784
Co3 Co 0.739 0.739 0.216
Ag1 Ag 0.500 0.500 0.500
```

---

Record 6
VASP calculation (PBE) on an optimized crystal structure of CoAg.

Computed properties:
The symmetry is I4/m (87). The calculation puts the total energy at -4.673 eV/atom.

The structure in CIF format:
```
data_CoAg
_chemical_formula_sum 'Co4 Ag4'
_cell_length_a 6.768
_cell_length_b 6.768
_cell_length_c 6.768
_cell_angle_alpha 92.36
_cell_angle_beta 92.36
_cell_angle_gamma 156.59
_space_group_name_H-M_alt 'P 1'
_space_group_IT_number 1
loop_
_space_group_symop_operation_xyz
'x,y,z'
loop_
_atom_site_label
_atom_site_type_symbol
_atom_site_fract_x
_atom_site_fract_y
_atom_site_fract_z
Co1 Co 0.038 0.359 0.397
Co2 Co 0.359 0.962 0.321
Co3 Co 0.641 0.038 0.679
Co4 Co 0.962 0.641 0.603
Ag1 Ag 0.334 0.364 0.698
Ag2 Ag 0.364 0.666 0.030
Ag3 Ag 0.636 0.334 0.970
Ag4 Ag 0.666 0.636 0.302
```

---

Question: Number 6 is which compound?
Answer: CoAg